*a*
The following is a PBE calculation of a geometry-optimized KScBe structure, from Alexandria.

Lattice parameters (Å, degrees): 7.5430 7.5430 7.5430 154.03 154.03 37.06
Fractional coordinates of all 3 atoms:
K1 0.0000 0.0000 0.0000
Sc1 0.2536 0.2536 0.0000
Be1 0.6735 0.6735 0.0000

Mass density: 1881 kg/m3



*b*
The following is a PBE calculation of a geometry-optimized KScBe structure, from Alexandria.

Lattice parameters (Å, degrees): 3.4553 3.4553 8.0049 90.00 90.00 120.00
Fractional coordinates of all 3 atoms:
K1 0.0000 0.0000 0.0000
Sc1 0.6667 0.3333 0.4521
Be1 0.3333 0.6667 0.6679

Mass density: 1867 kg/m3



Which structure is most stable, and how do the rest compare? From most to least stable: *a*, *b*.



*a*
The following is a PBE calculation of a geometry-optimized KScBe structure, from Alexandria.

Lattice parameters (Å, degrees): 4.9461 4.9461 4.9461 60.00 60.00 60.00
Fractional coordinates of all 3 atoms:
K1 0.0000 0.0000 0.0000
Sc1 0.2500 0.2500 0.2500
Be1 0.7500 0.7500 0.7500

Mass density: 1806 kg/m3



*b*
The following is a PBE calculation of a geometry-optimized KScBe structure, from Alexandria.

Lattice parameters (Å, degrees): 5.2593 5.2593 2.8707 90.00 90.00 120.00
Fractional coordinates of all 3 atoms:
K1 0.0000 0.0000 0.0000
Sc1 0.6667 0.3333 0.0000
Be1 0.3333 0.6667 0.5000

Mass density: 2247 kg/m3



*c*
The following is a PBE calculation of a geometry-optimized KScBe structure, from Alexandria.

Lattice parameters (Å, degrees): 4.9993 4.9993 4.9993 60.00 60.00 60.00
Fractional coordinates of all 3 atoms:
K1 0.0000 0.0000 0.0000
Sc1 0.5000 0.5000 0.5000
Be1 0.7500 0.7500 0.7500

Mass density: 1749 kg/m3



Which structure is most stable, and how do the rest compare? From most to least stable: *b*, *c*, *a*.



*a*
The following is a PBE calculation of a geometry-optimized KBe3Se structure, from Alexandria.

Lattice parameters (Å, degrees): 4.7603 4.7603 4.7603 90.00 90.00 90.00
Fractional coordinates of all 5 atoms:
K1 0.0000 0.0000 0.0000
Be1 0.0000 0.5000 0.5000
Be2 0.5000 0.0000 0.5000
Be3 0.5000 0.5000 0.0000
Se1 0.5000 0.5000 0.5000

Mass density: 2234 kg/m3



*b*
The following is a PBE calculation of a geometry-optimized KBe3Se structure, from Alexandria.

Lattice parameters (Å, degrees): 5.6302 5.6302 5.6302 90.00 90.00 90.00
Fractional coordinates of all 5 atoms:
K1 0.0000 0.0000 0.0000
Be1 0.0000 0.0000 0.5000
Be2 0.0000 0.5000 0.0000
Be3 0.5000 0.0000 0.0000
Se1 0.5000 0.5000 0.5000

Mass density: 1350 kg/m3



Which structure is most stable, and how do the rest compare? From most to least stable: *a*, *b*.



*a*
The following is a PBE calculation of a geometry-optimized KBe3Si structure, from Alexandria.

Lattice parameters (Å, degrees): 5.0007 5.0007 5.0007 90.00 90.00 90.00
Fractional coordinates of all 5 atoms:
K1 0.0000 0.0000 0.0000
Be1 0.0000 0.0000 0.5000
Be2 0.0000 0.5000 0.0000
Be3 0.5000 0.0000 0.0000
Si1 0.5000 0.5000 0.5000

Mass density: 1251 kg/m3



*b*
The following is a PBE calculation of a geometry-optimized KBe3Si structure, from Alexandria.

Lattice parameters (Å, degrees): 4.4320 4.4320 4.4320 90.00 90.00 90.00
Fractional coordinates of all 5 atoms:
K1 0.0000 0.0000 0.0000
Be1 0.0000 0.5000 0.5000
Be2 0.5000 0.0000 0.5000
Be3 0.5000 0.5000 0.0000
Si1 0.5000 0.5000 0.5000

Mass density: 1797 kg/m3



Which structure is most stable, and how do the rest compare? From most to least stable: *b*, *a*.



*a*
The following is a PBE calculation of a geometry-optimized KSrBe structure, from Alexandria.

Lattice parameters (Å, degrees): 8.1035 8.1035 8.1035 151.95 151.95 40.08
Fractional coordinates of all 3 atoms:
K1 0.0000 0.0000 0.0000
Sr1 0.2516 0.2516 0.0000
Be1 0.6509 0.6509 0.0000

Mass density: 1919 kg/m3



*b*
The following is a PBE calculation of a geometry-optimized KSrBe structure, from Alexandria.

Lattice parameters (Å, degrees): 4.4830 4.4830 7.7931 90.00 90.00 120.00
Fractional coordinates of all 3 atoms:
K1 0.0000 0.0000 0.0000
Sr1 0.6667 0.3333 0.5070
Be1 0.3333 0.6667 0.7228

Mass density: 1662 kg/m3



Which structure is most stable, and how do the rest compare? From most to least stable: *a*, *b*.



*a*
The following is a PBE calculation of a geometry-optimized KSr3Be structure, from Alexandria.

Lattice parameters (Å, degrees): 7.0695 7.0695 7.0695 90.00 90.00 90.00
Fractional coordinates of all 5 atoms:
K1 0.0000 0.0000 0.0000
Sr1 0.0000 0.0000 0.5000
Sr2 0.0000 0.5000 0.0000
Sr3 0.5000 0.0000 0.0000
Be1 0.5000 0.5000 0.5000

Mass density: 1462 kg/m3



*b*
The following is a PBE calculation of a geometry-optimized KSr3Be structure, from Alexandria.

Lattice parameters (Å, degrees): 6.2436 6.2436 6.2436 90.00 90.00 90.00
Fractional coordinates of all 5 atoms:
K1 0.0000 0.0000 0.0000
Sr1 0.0000 0.5000 0.5000
Sr2 0.5000 0.0000 0.5000
Sr3 0.5000 0.5000 0.0000
Be1 0.5000 0.5000 0.5000

Mass density: 2122 kg/m3



Which structure is most stable, and how do the rest compare? From most to least stable: *b*, *a*.



*a*
The following is a PBE calculation of a geometry-optimized KSrBe3 structure, from Alexandria.

Lattice parameters (Å, degrees): 5.3162 5.3162 5.3162 90.00 90.00 90.00
Fractional coordinates of all 5 atoms:
K1 0.0000 0.0000 0.0000
Sr1 0.5000 0.5000 0.5000
Be1 0.0000 0.0000 0.5000
Be2 0.0000 0.5000 0.0000
Be3 0.5000 0.0000 0.0000

Mass density: 1699 kg/m3



*b*
The following is a PBE calculation of a geometry-optimized KSrBe3 structure, from Alexandria.

Lattice parameters (Å, degrees): 5.8178 5.8178 5.8178 90.00 90.00 90.00
Fractional coordinates of all 5 atoms:
K1 0.0000 0.0000 0.0000
Sr1 0.5000 0.5000 0.5000
Be1 0.0000 0.5000 0.5000
Be2 0.5000 0.0000 0.5000
Be3 0.5000 0.5000 0.0000

Mass density: 1297 kg/m3



Which structure is most stable, and how do the rest compare? From most to least stable: *b*, *a*.



*a*
The following is a PBE calculation of a geometry-optimized KTaBe structure, from Alexandria.

Lattice parameters (Å, degrees): 7.5747 7.5747 7.5747 157.55 157.55 31.95
Fractional coordinates of all 3 atoms:
K1 0.0000 0.0000 0.0000
Ta1 0.7196 0.7196 0.0000
Be1 0.3151 0.3151 0.0000

Mass density: 6008 kg/m3



*b*
The following is a PBE calculation of a geometry-optimized KTaBe structure, from Alexandria.

Lattice parameters (Å, degrees): 4.0051 4.0051 11.9511 90.00 90.00 120.00
Fractional coordinates of all 6 atoms:
K1 0.0000 0.0000 0.0000
K2 0.0000 0.0000 0.5000
Ta1 0.3333 0.6667 0.2500
Ta2 0.6667 0.3333 0.7500
Be1 0.3333 0.6667 0.7500
Be2 0.6667 0.3333 0.2500

Mass density: 4582 kg/m3



Which structure is most stable, and how do the rest compare? From most to least stable: *a*, *b*.



*a*
The following is a PBE calculation of a geometry-optimized KTa2Be2 structure, from Alexandria.

Lattice parameters (Å, degrees): 8.1864 8.1864 2.6383 90.00 90.00 90.00
Fractional coordinates of all 10 atoms:
K1 0.0000 0.0000 0.0000
K2 0.5000 0.5000 0.0000
Ta1 0.1190 0.3810 0.0000
Ta2 0.3810 0.8810 0.0000
Ta3 0.6190 0.1190 0.0000
Ta4 0.8810 0.6190 0.0000
Be1 0.1673 0.6673 0.5000
Be2 0.3327 0.1673 0.5000
Be3 0.6673 0.8327 0.5000
Be4 0.8327 0.3327 0.5000

Mass density: 7871 kg/m3



*b*
The following is a PBE calculation of a geometry-optimized KTa2Be2 structure, from Alexandria.

Lattice parameters (Å, degrees): 6.0164 6.0164 6.0164 136.91 136.91 62.57
Fractional coordinates of all 5 atoms:
K1 0.0000 0.0000 0.0000
Ta1 0.3315 0.3315 0.0000
Ta2 0.6685 0.6685 0.0000
Be1 0.2500 0.7500 0.5000
Be2 0.7500 0.2500 0.5000

Mass density: 6932 kg/m3



Which structure is most stable, and how do the rest compare? From most to least stable: *a*, *b*.



*a*
The following is a PBE calculation of a geometry-optimized KBe3Tc structure, from Alexandria.

Lattice parameters (Å, degrees): 4.2378 4.2378 4.2378 90.00 90.00 90.00
Fractional coordinates of all 5 atoms:
K1 0.0000 0.0000 0.0000
Be1 0.0000 0.0000 0.5000
Be2 0.0000 0.5000 0.0000
Be3 0.5000 0.0000 0.0000
Tc1 0.5000 0.5000 0.5000

Mass density: 3581 kg/m3



*b*
The following is a PBE calculation of a geometry-optimized KBe3Tc structure, from Alexandria.

Lattice parameters (Å, degrees): 4.4968 4.4968 4.4968 90.00 90.00 90.00
Fractional coordinates of all 5 atoms:
K1 0.0000 0.0000 0.0000
Be1 0.0000 0.5000 0.5000
Be2 0.5000 0.0000 0.5000
Be3 0.5000 0.5000 0.0000
Tc1 0.5000 0.5000 0.5000

Mass density: 2997 kg/m3



Which structure is most stable, and how do the rest compare? From most to least stable: *b*, *a*.



*a*
The following is a PBE calculation of a geometry-optimized KBeTc structure, from Alexandria.

Lattice parameters (Å, degrees): 2.7904 2.7904 7.8160 90.00 90.00 120.00
Fractional coordinates of all 3 atoms:
K1 0.0000 0.0000 0.0000
Be1 0.3333 0.6667 0.6175
Tc1 0.6667 0.3333 0.3786

Mass density: 4603 kg/m3



*b*
The following is a PBE calculation of a geometry-optimized KBeTc structure, from Alexandria.

Lattice parameters (Å, degrees): 6.5801 6.5801 6.5801 157.31 146.51 40.84
Fractional coordinates of all 3 atoms:
K1 0.0000 0.0000 0.0000
Be1 0.2808 0.2808 0.0000
Tc1 0.7246 0.7246 0.0000

Mass density: 4008 kg/m3



Which structure is most stable, and how do the rest compare? From most to least stable: *b*, *a*.



*a*
The following is a PBE calculation of a geometry-optimized KBeTc structure, from Alexandria.

Lattice parameters (Å, degrees): 6.5318 6.5318 6.5318 152.15 152.15 39.80
Fractional coordinates of all 3 atoms:
K1 0.0000 0.0000 0.0000
Be1 0.7257 0.7257 0.0000
Tc1 0.2688 0.2688 0.0000

Mass density: 3996 kg/m3



*b*
The following is a PBE calculation of a geometry-optimized KBeTc structure, from Alexandria.

Lattice parameters (Å, degrees): 4.7673 4.7673 4.7673 60.00 60.00 60.00
Fractional coordinates of all 3 atoms:
K1 0.0000 0.0000 0.0000
Be1 0.2500 0.2500 0.2500
Tc1 0.7500 0.7500 0.7500

Mass density: 3167 kg/m3



Which structure is most stable, and how do the rest compare? From most to least stable: *a*, *b*.